[1]
Below is a relaxed FeAgIr2 crystal, with properties calculated at the PBE level.

- ρ (Mg/m³) = 15.1
- V (Å³ per atom) = 15.06
- ΔH_f (0 K) (meV/atom) = 222
- distance to the lowest polymorph of the same formula (meV per atom) = 96
- magnetization (μB/atom) = 1.0107

Cell: 2.7165 2.7165 9.2216 Å, 90.00 90.00 117.69°
Closest atoms and distances in Å follow each position.
Fractional positions:
Ir 0.0000 0.0000 0.5224  2 Fe 2.53, 6 Ir 2.72-2.81
Ir 0.0000 0.0000 0.9776  2 Fe 2.53, 6 Ir 2.72-2.81
Ag 0.5000 0.5000 0.2500  6 Ag 2.72-2.81, 4 Ir 2.88
Fe 0.5000 0.5000 0.7500  4 Ir 2.53, 6 Fe 2.72-2.81

[2]
Below is a relaxed Al2S3 crystal, with properties calculated at the PBE level.

- ρ (Mg/m³) = 2.2
- V (Å³ per atom) = 22.41
- formation energy from raw total energies (eV per atom) = -1.055
- magnetization (μB/atom) = 0.0000

Cell: 6.5738 6.5738 7.0612 Å, 62.99 62.99 59.53°
Closest atoms and distances in Å follow each position.
Fractional positions:
Al 0.6765 0.8080 0.0101  4 S 2.19-2.33
Al 0.8080 0.6765 0.5101  4 S 2.19-2.33
Al 0.1809 0.9871 0.4952  4 S 2.19-2.32
Al 0.9871 0.1809 0.9952  4 S 2.19-2.32
S 0.6385 0.4536 0.1322  2 Al 2.19
S 0.9554 0.8026 0.1257  3 Al 2.30-2.32
S 0.2977 0.1167 0.1117  3 Al 2.31-2.33
S 0.4536 0.6385 0.6322  2 Al 2.19
S 0.1167 0.2977 0.6117  3 Al 2.31-2.33
S 0.8026 0.9554 0.6257  3 Al 2.30-2.32

[3]
Below is a relaxed AcNdPt2 crystal, with properties calculated at the PBE level.

- ρ (Mg/m³) = 12.1
- V (Å³ per atom) = 26.15
- ΔH_f (0 K) (meV/atom) = -1145
- distance to the lowest polymorph of the same formula (meV per atom) = 0
- magnetization (μB/atom) = 0.0000

Cell: 4.6016 5.9871 8.0716 Å, 70.19 90.00 90.00°
Closest atoms and distances in Å follow each position.
Fractional positions:
Ac 0.7500 0.2306 0.8140  7 Pt 3.12-3.20
Ac 0.2500 0.7694 0.1860  7 Pt 3.12-3.20
Pt 0.2500 0.3239 0.0519  2 Pt 3.04, 3 Nd 3.09-3.29, 4 Ac 3.12-3.20
Pt 0.2500 0.3142 0.5379  4 Nd 3.04-3.31, 2 Pt 3.11, 3 Ac 3.12-3.20
Pt 0.7500 0.6858 0.4621  4 Nd 3.04-3.31, 2 Pt 3.11, 3 Ac 3.12-3.20
Pt 0.7500 0.6761 0.9481  2 Pt 3.04, 3 Nd 3.09-3.29, 4 Ac 3.12-3.20
Nd 0.2500 0.7736 0.6781  7 Pt 3.04-3.31
Nd 0.7500 0.2264 0.3219  7 Pt 3.04-3.31

[4]
Below is a relaxed YVSn2Bi crystal, with properties calculated at the PBE level.

- ρ (Mg/m³) = 5.1
- V (Å³ per atom) = 38.16
- ΔH_f (0 K) (meV/atom) = 1324
- magnetization (μB/atom) = 0.0024

Cell: 5.7604 5.7498 5.7604 Å, 90.00 90.00 90.00°
Closest atoms and distances in Å follow each position.
Fractional positions:
Y 0.0000 0.5000 0.0000  2 Bi 2.87
Sn 0.0000 0.0000 0.5000  2 Bi 2.88
Sn 0.5000 0.0000 0.0000  2 Bi 2.88
Bi 0.0000 0.0000 0.0000  2 Y 2.87, 4 Sn 2.88
V 0.5000 0.5000 0.5000  8 Sn 4.07, 4 Y 4.07

[5]
Below is a relaxed Ca2Mg3Tl8 crystal, with properties calculated at the PBE level.

- ρ (Mg/m³) = 7.7
- V (Å³ per atom) = 29.52
- ΔH_f (0 K) (meV/atom) = -62
- magnetization (μB/atom) = 0.0000

Cell: 6.4078 8.2674 8.4123 Å, 119.43 97.50 90.00°
Closest atoms and distances in Å follow each position.
Fractional positions:
Tl 0.0753 0.3976 0.7951  2 Mg 3.12, 1 Ca 3.22, 2 Tl 3.29-3.37
Tl 0.5693 0.5814 0.7845  2 Mg 3.08-3.16, 2 Tl 3.13-3.41, 2 Ca 3.19-3.31
Tl 0.9247 0.6024 0.2049  2 Mg 3.12, 1 Ca 3.22, 2 Tl 3.29-3.37
Tl 0.7965 0.1837 0.3673  1 Mg 3.05, 2 Ca 3.16-3.31, 1 Tl 3.37
Tl 0.4307 0.4186 0.2155  2 Mg 3.08-3.16, 2 Tl 3.13-3.41, 2 Ca 3.19-3.31
Tl 0.4307 0.7969 0.2155  2 Mg 3.08-3.16, 2 Tl 3.13-3.41, 2 Ca 3.19-3.31
Tl 0.5693 0.2031 0.7845  2 Mg 3.08-3.16, 2 Tl 3.13-3.41, 2 Ca 3.19-3.31
Tl 0.2035 0.8163 0.6327  1 Mg 3.05, 2 Ca 3.16-3.31, 1 Tl 3.37
Ca 0.2952 0.2140 0.4280  7 Tl 3.16-3.31
Ca 0.7048 0.7860 0.5720  7 Tl 3.16-3.31
Mg 0.5000 0.0000 0.0000  6 Tl 3.05-3.08
Mg 0.0000 0.1792 0.0000  1 Mg 2.96, 4 Tl 3.12-3.16
Mg 0.0000 0.8208 0.0000  1 Mg 2.96, 4 Tl 3.12-3.16

[6]
Below is a relaxed SrPuCdGe crystal, with properties calculated at the PBE level.

- ρ (Mg/m³) = 7.8
- V (Å³ per atom) = 27.64
- ΔH_f (0 K) (meV/atom) = -223
- magnetization (μB/atom) = 1.5209

Cell: 5.3870 5.3870 5.3870 Å, 60.00 60.00 60.00°
Closest atoms and distances in Å follow each position.
Fractional positions:
Sr 0.5000 0.5000 0.5000  4 Cd 3.30, 4 Ge 3.30
Ge 0.2500 0.2500 0.2500  4 Sr 3.30, 4 Pu 3.30
Pu 0.0000 0.0000 0.0000  4 Ge 3.30, 4 Cd 3.30
Cd 0.7500 0.7500 0.7500  4 Pu 3.30, 4 Sr 3.30

[7]
Below is a relaxed Tb3Ce2UN6 crystal, with properties calculated at the PBE level.

- ρ (Mg/m³) = 9.8
- V (Å³ per atom) = 15.21
- formation energy from raw total energies (eV per atom) = -1.567
- magnetization (μB/atom) = 0.0003

Cell: 6.0735 6.0735 6.0582 Å, 99.61 99.61 119.97°
Closest atoms and distances in Å follow each position.
Fractional positions:
N 0.6075 0.9199 0.7601  1 U 2.34, 3 Tb 2.46-2.61, 2 Ce 2.50
N 0.0801 0.3925 0.2399  1 U 2.34, 3 Tb 2.46-2.61, 2 Ce 2.50
N 0.9199 0.6075 0.7601  1 U 2.34, 3 Tb 2.46-2.61, 2 Ce 2.50
N 0.3925 0.0801 0.2399  1 U 2.34, 3 Tb 2.46-2.61, 2 Ce 2.50
N 0.2318 0.2318 0.7608  1 U 2.33, 2 Tb 2.47, 2 Ce 2.50
N 0.7682 0.7682 0.2392  1 U 2.33, 2 Tb 2.47, 2 Ce 2.50
Tb 0.8326 0.1674 0.5000  6 N 2.46-2.61
Tb 0.1674 0.8326 0.5000  6 N 2.46-2.61
Tb 0.5000 0.5000 0.5000  6 N 2.46-2.62
Ce 0.3336 0.6664 0.0000  6 N 2.50
Ce 0.6664 0.3336 0.0000  6 N 2.50
U 0.0000 0.0000 0.0000  6 N 2.33-2.34

[8]
Below is a relaxed Na2CdGe2 crystal, with properties calculated at the PBE level.

- ρ (Mg/m³) = 4.2
- V (Å³ per atom) = 24.00
- ΔH_f (0 K) (meV/atom) = 77
- distance to the lowest polymorph of the same formula (meV per atom) = 155
- magnetization (μB/atom) = 0.0000

Cell: 8.9241 8.9241 3.0142 Å, 90.00 90.00 90.00°
Closest atoms and distances in Å follow each position.
Fractional positions:
Na 0.1957 0.3043 0.0000  6 Ge 3.00-3.15, 2 Na 3.01, 2 Cd 3.23
Na 0.8043 0.6957 0.0000  6 Ge 3.00-3.15, 2 Na 3.01, 2 Cd 3.23
Na 0.6957 0.1957 0.0000  6 Ge 3.00-3.15, 2 Na 3.01, 2 Cd 3.23
Na 0.3043 0.8043 0.0000  6 Ge 3.00-3.15, 2 Na 3.01, 2 Cd 3.23
Cd 0.5000 0.5000 0.0000  2 Cd 3.01, 4 Na 3.23
Cd 0.0000 0.0000 0.0000  2 Cd 3.01, 4 Na 3.23
Ge 0.4017 0.0983 0.5000  1 Ge 2.48
Ge 0.0983 0.5983 0.5000  1 Ge 2.48
Ge 0.5983 0.9017 0.5000  1 Ge 2.48
Ge 0.9017 0.4017 0.5000  1 Ge 2.48

[9]
Below is a relaxed ErTmIr crystal, with properties calculated at the PBE level.

- ρ (Mg/m³) = 11.9
- V (Å³ per atom) = 24.54
- ΔH_f (0 K) (meV/atom) = -627
- distance to the lowest polymorph of the same formula (meV per atom) = 135
- magnetization (μB/atom) = 0.0000

Cell: 3.4236 3.4236 6.7316 Å, 104.73 104.73 90.00°
Closest atoms and distances in Å follow each position.
Fractional positions:
Er 0.0375 0.0375 0.0749  4 Ir 2.92, 1 Tm 3.24
Tm 0.2953 0.2953 0.5907  4 Ir 2.91, 1 Er 3.24
Ir 0.6672 0.6672 0.3344  4 Tm 2.91, 4 Er 2.92

[10]
Below is a relaxed BaCdNi crystal, with properties calculated at the PBE level.

- ρ (Mg/m³) = 6.0
- V (Å³ per atom) = 28.65
- ΔH_f (0 K) (meV/atom) = -60
- magnetization (μB/atom) = 0.0000

Cell: 4.6095 4.6095 4.6708 Å, 90.00 90.00 120.00°
Closest atoms and distances in Å follow each position.
Fractional positions:
Ni 0.3333 0.6667 0.4995  3 Cd 2.66
Ba 0.0000 0.0000 0.0003  6 Ni 3.54, 6 Cd 3.54
Cd 0.6667 0.3333 0.5002  3 Ni 2.66

[11]
Below is a relaxed Eu2Ga4Ir crystal, with properties calculated at the PBE level.

- ρ (Mg/m³) = 7.3
- V (Å³ per atom) = 25.23
- ΔH_f (0 K) (meV/atom) = -369
- magnetization (μB/atom) = 2.1060

Cell: 4.7356 4.7356 8.5585 Å, 73.94 73.94 90.00°
Closest atoms and distances in Å follow each position.
Fractional positions:
Ga 0.1618 0.1618 0.6764  1 Ir 2.55
Ga 0.8382 0.8382 0.3236  1 Ir 2.55
Ga 0.5000 0.0000 0.0000  2 Ir 2.37
Ga 0.0000 0.5000 0.0000  2 Ir 2.37
Eu 0.6471 0.6471 0.7058  9 Ga 3.01-3.36
Eu 0.3529 0.3529 0.2942  9 Ga 3.01-3.36
Ir 0.0000 0.0000 0.0000  6 Ga 2.37-2.55

[12]
Below is a relaxed ZrFeNi crystal, with properties calculated at the PBE level.

- ρ (Mg/m³) = 7.3
- V (Å³ per atom) = 15.58
- ΔH_f (0 K) (meV/atom) = 231
- magnetization (μB/atom) = 1.1080

Cell: 2.9160 2.9160 6.3490 Å, 90.00 90.00 120.00°
Closest atoms and distances in Å follow each position.
Fractional positions:
Ni 0.6667 0.3333 0.3091  3 Fe 2.45
Fe 0.0000 0.0000 0.0280  3 Ni 2.45
Zr 0.3333 0.6667 0.6629  3 Ni 2.81, 3 Fe 2.86, 6 Zr 2.92